# 1
# PmNdPt2 GGA-PBE optimized geometry
# Mass density: 11.7 Mg/m³
# Relative energy among the computed polymorphs: 0.0 meV per atom
# DFT total energy: -6.564 eV/atom
# DOS at the Fermi energy: 0.68 states/eV/atom
# Magnetization: 0.00 μB/cell
data_PmNdPt2
_chemical_formula_sum 'Pm2 Nd2 Pt4'
_symmetry_space_group_name_H-M 'A m m 2'
_symmetry_Int_Tables_number 38
_cell_length_a 4.554
_cell_length_b 3.915
_cell_length_c 10.858
_cell_angle_alpha 90.00
_cell_angle_beta 90.00
_cell_angle_gamma 90.00
loop_
_symmetry_equiv_pos_as_xyz
'x,y,z'
'-x,-y,z'
'-x,y,z'
'x,-y,z'
'x,y+1/2,z+1/2'
'-x,-y+1/2,z+1/2'
'-x,y+1/2,z+1/2'
'x,-y+1/2,z+1/2'
loop_
_atom_site_label
_atom_site_fract_x
_atom_site_fract_y
_atom_site_fract_z
Pm1 0.000 0.000 0.000
Nd1 0.500 0.000 0.274
Pt1 0.000 0.000 0.724
Pt2 0.500 0.000 0.549

# 2
# Sr2TlPd3 GGA-PBE optimized geometry
# Mass density: 7.5 Mg/m³
# Relative energy among the computed polymorphs: 212.1 meV per atom
# DFT total energy: -3.881 eV/atom
# DOS at the Fermi energy: 0.46 states/eV/atom
# Magnetization: 0.00 μB/cell
data_Sr2TlPd3
_chemical_formula_sum 'Sr4 Tl2 Pd6'
_symmetry_space_group_name_H-M 'I m m m'
_symmetry_Int_Tables_number 71
_symmetry_space_group_name_Hall '-I 2 2'
_cell_length_a 4.977
_cell_length_b 5.815
_cell_length_c 10.685
_cell_angle_alpha 90.00
_cell_angle_beta 90.00
_cell_angle_gamma 90.00
loop_
_atom_site_label
_atom_site_fract_x
_atom_site_fract_y
_atom_site_fract_z
Sr1 0.000 0.000 0.180
Tl1 0.000 0.000 0.500
Pd1 0.000 0.500 0.127
Pd2 0.000 0.500 0.500

# 3
# MgMn2As GGA-PBE optimized geometry
# Mass density: 5.8 Mg/m³
# DFT total energy: -6.104 eV/atom
# DOS at the Fermi energy: 0.81 states/eV/atom
# Magnetization: 6.11 μB/cell
data_MgMn2As
_chemical_formula_sum 'Mg1 Mn2 As1'
_symmetry_space_group_name_H-M 'P 4/m m m'
_symmetry_Int_Tables_number 123
_symmetry_space_group_name_Hall '-P 4 2'
_cell_length_a 3.889
_cell_length_b 3.889
_cell_length_c 3.942
_cell_angle_alpha 90.00
_cell_angle_beta 90.00
_cell_angle_gamma 90.00
loop_
_atom_site_label
_atom_site_fract_x
_atom_site_fract_y
_atom_site_fract_z
Mg1 0.000 0.000 0.000
Mn1 0.000 0.500 0.500
As1 0.500 0.500 0.000

# 4
# CeRuC GGA-PBE optimized geometry
# Mass density: 9.0 Mg/m³
# Relative energy among the computed polymorphs: 581.8 meV per atom
# DFT total energy: -7.710 eV/atom
# DOS at the Fermi energy: 1.11 states/eV/atom
# Magnetization: 0.00 μB/cell
data_CeRuC
_chemical_formula_sum 'Ce4 Ru4 C4'
_symmetry_space_group_name_H-M 'F m m 2'
_symmetry_Int_Tables_number 42
_symmetry_space_group_name_Hall 'F 2 -2'
_cell_length_a 3.385
_cell_length_b 5.010
_cell_length_c 11.056
_cell_angle_alpha 90.00
_cell_angle_beta 90.00
_cell_angle_gamma 90.00
loop_
_atom_site_label
_atom_site_fract_x
_atom_site_fract_y
_atom_site_fract_z
Ce1 0.000 0.000 0.000
Ru1 0.000 0.000 0.736
C1 0.000 0.000 0.327

# 5
# Hf4Sb GGA-PBE optimized geometry
# Mass density: 11.8 Mg/m³
# Relative energy among the computed polymorphs: 0.0 meV per atom
# DFT total energy: -8.879 eV/atom
# DOS at the Fermi energy: 1.08 states/eV/atom
# Formation energy (no corrections): -0.461 eV/f.u.
# Magnetization: 0.00 μB/cell
data_Hf4Sb
_chemical_formula_sum 'Hf16 Sb4'
_symmetry_space_group_name_H-M 'I -4 2 d'
_symmetry_Int_Tables_number 122
_symmetry_space_group_name_Hall 'I -4 2bw'
_cell_length_a 8.602
_cell_length_b 8.602
_cell_length_c 6.345
_cell_angle_alpha 90.00
_cell_angle_beta 90.00
_cell_angle_gamma 90.00
loop_
_atom_site_label
_atom_site_fract_x
_atom_site_fract_y
_atom_site_fract_z
Hf1 0.073 0.190 0.377
Sb1 0.000 0.000 0.000

# 6
# Mg2CoCu GGA-PBE optimized geometry
# Mass density: 4.7 Mg/m³
# DFT total energy: -3.428 eV/atom
# DOS at the Fermi energy: 0.56 states/eV/atom
# Magnetization: 3.55 μB/cell
data_Mg2CoCu
_chemical_formula_sum 'Mg6 Co3 Cu3'
_symmetry_space_group_name_H-M 'R -3 m'
_symmetry_Int_Tables_number 166
_symmetry_space_group_name_Hall '-R 3 2"'
_cell_length_a 2.8364
_cell_length_b 2.8364
_cell_length_c 26.0880
_cell_angle_alpha 90.00
_cell_angle_beta 90.00
_cell_angle_gamma 120.00
loop_
_atom_site_label
_atom_site_fract_x
_atom_site_fract_y
_atom_site_fract_z
Mg1 0.0000 0.0000 0.2475
Co1 0.0000 0.0000 0.5000
Cu1 0.0000 0.0000 0.0000

Copy entry 1 word for word.
# PmNdPt2 GGA-PBE optimized geometry
# Mass density: 11.7 Mg/m³
# Relative energy among the computed polymorphs: 0.0 meV per atom
# DFT total energy: -6.564 eV/atom
# DOS at the Fermi energy: 0.68 states/eV/atom
# Magnetization: 0.00 μB/cell
data_PmNdPt2
_chemical_formula_sum 'Pm2 Nd2 Pt4'
_symmetry_space_group_name_H-M 'A m m 2'
_symmetry_Int_Tables_number 38
_cell_length_a 4.554
_cell_length_b 3.915
_cell_length_c 10.858
_cell_angle_alpha 90.00
_cell_angle_beta 90.00
_cell_angle_gamma 90.00
loop_
_symmetry_equiv_pos_as_xyz
'x,y,z'
'-x,-y,z'
'-x,y,z'
'x,-y,z'
'x,y+1/2,z+1/2'
'-x,-y+1/2,z+1/2'
'-x,y+1/2,z+1/2'
'x,-y+1/2,z+1/2'
loop_
_atom_site_label
_atom_site_fract_x
_atom_site_fract_y
_atom_site_fract_z
Pm1 0.000 0.000 0.000
Nd1 0.500 0.000 0.274
Pt1 0.000 0.000 0.724
Pt2 0.500 0.000 0.549